Here is a relaxed structure of Dy5Y2Ho12 from Alexandria. Energies are from PBE.

Geometry as CIF:
```
data_Dy5Y2Ho12
_cell_length_a 15.700
_cell_length_b 9.159
_cell_length_c 8.488
_cell_angle_alpha 90.00
_cell_angle_beta 91.04
_cell_angle_gamma 90.00
_space_group_name_H-M_alt 'C 1 2/m 1'
_space_group_IT_number 12
_space_group_name_Hall '-C 2y'
loop_
_atom_site_label
_atom_site_type_symbol
_atom_site_fract_x
_atom_site_fract_y
_atom_site_fract_z
Dy1 Dy 0.000 0.000 0.000
Dy2 Dy 0.199 0.500 0.511
Dy3 Dy 0.232 0.000 0.073
Y1 Y 0.000 0.321 0.500
Ho1 Ho 0.058 0.500 0.835
Ho2 Ho 0.091 0.000 0.384
Ho3 Ho 0.127 0.308 0.162
Ho4 Ho 0.155 0.182 0.744
```

Offset from the most stable computed form, eV/atom: 0.1109
Size of the total moment, μB per cell: 0.00
E_form, eV per atom: 0.1320